No. 1
Below is crystalline TaRe2Br at its relaxed geometry, with properties calculated at the GGA-PBE level.

Lattice parameters (Å, degrees): 2.878 2.878 9.446 90.00 90.00 114.19
Sites, in units of the cell vectors:
1 Ta 0.000 0.000 0.000
2 Re 0.000 0.000 0.455
3 Re 0.500 0.500 0.239
4 Br 0.500 0.500 0.765

Properties
* space group: Cmm2, No. 35
* ΔE to the lowest computed polymorph: 61 meV/atom
* mass density: 14.733 g/cm³
* crystal system: orthorhombic
* total magnetic moment: 0.00 μB per atom

No. 2
Below is crystalline TaReBr2 at its relaxed geometry, with properties calculated at the GGA-PBE level.

Lattice parameters (Å, degrees): 5.003 5.003 5.003 128.63 128.63 75.60
Sites, in units of the cell vectors:
1 Ta 0.000 0.000 0.000
2 Re 0.750 0.250 0.500
3 Br 0.250 0.750 0.500
4 Br 0.500 0.500 0.000

Properties
* space group: I-4m2, No. 119
* ΔE to the lowest computed polymorph: 1217 meV/atom
* mass density: 11.771 g/cm³
* crystal system: tetragonal
* total magnetic moment: 0.00 μB per atom

No. 3
Below is crystalline TaReBr2 at its relaxed geometry, with properties calculated at the GGA-PBE level.

Lattice parameters (Å, degrees): 2.963 4.643 5.532 90.00 90.00 90.00
Sites, in units of the cell vectors:
1 Ta 0.000 0.000 0.000
2 Re 0.500 0.000 0.500
3 Br 0.000 0.500 0.500
4 Br 0.500 0.500 0.000

Properties
* space group: Pmmm, No. 47
* ΔE to the lowest computed polymorph: 1121 meV/atom
* mass density: 11.500 g/cm³
* crystal system: orthorhombic
* total magnetic moment: 0.20 μB per atom

No. 4
Below is crystalline TaRe2Br at its relaxed geometry, with properties calculated at the GGA-PBE level.

Lattice parameters (Å, degrees): 4.558 4.558 4.558 60.00 60.00 60.00
Sites, in units of the cell vectors:
1 Ta 0.000 0.000 0.000
2 Re 0.250 0.250 0.250
3 Re 0.750 0.750 0.750
4 Br 0.500 0.500 0.500

Properties
* space group: Fm-3m, No. 225
* ΔE to the lowest computed polymorph: 493 meV/atom
* mass density: 15.700 g/cm³
* crystal system: cubic
* total magnetic moment: 0.00 μB per atom

No. 5
Below is crystalline TaRe2Br at its relaxed geometry, with properties calculated at the GGA-PBE level.

Lattice parameters (Å, degrees): 5.168 5.168 5.168 135.70 135.70 64.45
Sites, in units of the cell vectors:
1 Ta 0.000 0.000 0.000
2 Re 0.500 0.500 0.000
3 Re 0.750 0.250 0.500
4 Br 0.250 0.750 0.500

Properties
* space group: I-4m2, No. 119
* ΔE to the lowest computed polymorph: 552 meV/atom
* mass density: 15.837 g/cm³
* crystal system: tetragonal
* total magnetic moment: 0.00 μB per atom

Computed values of energy relative to the elements, uncorrected (unit: eV/f.u.) for the preceding records, in sequence: 2.59 4.64 4.26 4.32 4.56.